# 1
Here is a relaxed AcPr5Sm2Tm crystal from Alexandria via LeMat-Bulk. Energies are from PBE. Values from VASP.

Properties
Density of states at the Fermi level ... 27.47 states/eV per cell
VASP energy ... -4.39 eV/atom
Formation enthalpy at 0 K ... 0.27 eV/atom

```
&SYSTEM
  ibrav = 0, nat = 18, ntyp = 4
/
ATOMIC_SPECIES
Sm 150.36 Sm.upf
Pr 140.91 Pr.upf
Tm 168.93 Tm.upf
Ac 227.00 Ac.upf
CELL_PARAMETERS angstrom
9.162 0.000 0.000
0.000 9.162 0.000
-4.581 -4.581 7.837
ATOMIC_POSITIONS crystal
Sm 0.114 0.386 0.000
Pr 0.164 0.071 0.735
Pr 0.500 0.500 0.000
Sm 0.386 0.886 0.000
Tm 0.250 0.750 0.500
Pr 0.664 0.164 0.735
Ac 0.250 0.250 0.500
Sm 0.886 0.614 0.000
Pr 0.571 0.664 0.735
Pr 0.000 0.000 0.000
Pr 0.071 0.571 0.735
Ac 0.750 0.750 0.500
Sm 0.614 0.114 0.000
Tm 0.750 0.250 0.500
Pr 0.336 0.836 0.265
Pr 0.836 0.929 0.265
Pr 0.429 0.336 0.265
Pr 0.929 0.429 0.265
```

---

# 2
Here is a relaxed AcPr2Sm5Tm crystal from Alexandria via LeMat-Bulk. Energies are from PBE. Values from VASP.

Properties
Density of states at the Fermi level ... 20.85 states/eV per cell
VASP energy ... -4.38 eV/atom
Formation enthalpy at 0 K ... 0.26 eV/atom

```
&SYSTEM
  ibrav = 0, nat = 18, ntyp = 4
/
ATOMIC_SPECIES
Ac 227.00 Ac.upf
Tm 168.93 Tm.upf
Sm 150.36 Sm.upf
Pr 140.91 Pr.upf
CELL_PARAMETERS angstrom
-8.391 2.250 -2.179
1.690 -1.993 -8.567
1.005 -7.633 6.656
ATOMIC_POSITIONS crystal
Ac 0.250 0.250 0.500
Tm 0.750 0.250 0.500
Sm 0.000 0.000 0.000
Tm 0.250 0.750 0.500
Pr 0.118 0.382 0.000
Sm 0.159 0.072 0.731
Sm 0.428 0.341 0.269
Ac 0.750 0.750 0.500
Sm 0.659 0.159 0.731
Sm 0.341 0.841 0.269
Pr 0.618 0.118 0.000
Sm 0.572 0.659 0.731
Pr 0.882 0.618 0.000
Pr 0.382 0.882 0.000
Sm 0.072 0.572 0.731
Sm 0.500 0.500 0.000
Sm 0.841 0.928 0.269
Sm 0.928 0.428 0.269
```

---

# 3
Here is a relaxed AcPrSm2Tm4 crystal from Alexandria via LeMat-Bulk. Energies are from PBE. Values from VASP.

Properties
Density of states at the Fermi level ... 38.44 states/eV per cell
VASP energy ... -4.09 eV/atom
Formation enthalpy at 0 K ... 0.43 eV/atom

```
&SYSTEM
  ibrav = 0, nat = 16, ntyp = 4
/
ATOMIC_SPECIES
Pr 140.91 Pr.upf
Tm 168.93 Tm.upf
Ac 227.00 Ac.upf
Sm 150.36 Sm.upf
CELL_PARAMETERS angstrom
9.453 -0.041 -1.824
-0.047 9.453 -1.824
-5.948 -5.952 8.495
ATOMIC_POSITIONS crystal
Pr 0.500 0.500 0.500
Tm 0.742 0.758 0.497
Tm 0.736 0.240 0.988
Tm 0.264 0.760 0.012
Ac 0.000 0.500 0.000
Pr 0.000 0.000 0.000
Tm 0.260 0.764 0.512
Tm 0.258 0.242 0.503
Tm 0.740 0.236 0.488
Sm 0.500 0.500 0.000
Tm 0.258 0.242 0.997
Sm 0.000 0.000 0.500
Tm 0.742 0.758 0.003
Sm 0.500 0.000 0.000
Ac 0.000 0.500 0.500
Sm 0.500 0.000 0.500
```

---

# 4
Here is a relaxed Ac2PrSm3Y6 crystal from Alexandria via LeMat-Bulk. Energies are from PBE. Values from VASP.

Properties
Density of states at the Fermi level ... 14.15 states/eV per cell
VASP energy ... -5.47 eV/atom
Formation enthalpy at 0 K ... 0.03 eV/atom

```
&SYSTEM
  ibrav = 0, nat = 12, ntyp = 4
/
ATOMIC_SPECIES
Y 88.91 Y.upf
Ac 227.00 Ac.upf
Sm 150.36 Sm.upf
Pr 140.91 Pr.upf
CELL_PARAMETERS angstrom
-3.733 -1.939 4.803
-1.465 -1.566 -6.014
8.135 -8.680 1.407
ATOMIC_POSITIONS crystal
Y 0.915 0.583 0.744
Ac 0.333 0.667 0.000
Y 0.246 0.246 0.744
Y 0.754 0.754 0.256
Y 0.417 0.085 0.256
Sm 0.834 0.166 0.500
Pr 0.000 0.000 0.000
Sm 0.166 0.834 0.500
Ac 0.667 0.333 0.000
Y 0.085 0.417 0.256
Y 0.583 0.915 0.744
Sm 0.500 0.500 0.500
```

---

# 5
Here is a relaxed Ac2PrSm6Y3 crystal from Alexandria via LeMat-Bulk. Energies are from PBE. Values from VASP.

Properties
Density of states at the Fermi level ... 17.90 states/eV per cell
VASP energy ... -5.02 eV/atom
Formation enthalpy at 0 K ... 0.04 eV/atom

```
&SYSTEM
  ibrav = 0, nat = 12, ntyp = 4
/
ATOMIC_SPECIES
Sm 150.36 Sm.upf
Y 88.91 Y.upf
Ac 227.00 Ac.upf
Pr 140.91 Pr.upf
CELL_PARAMETERS angstrom
-5.632 -2.099 2.200
5.167 -0.143 3.774
-2.415 11.771 1.939
ATOMIC_POSITIONS crystal
Sm 0.755 0.755 0.258
Y 0.166 0.834 0.500
Sm 0.914 0.582 0.742
Y 0.834 0.166 0.500
Sm 0.582 0.914 0.742
Y 0.500 0.500 0.500
Sm 0.245 0.245 0.742
Sm 0.086 0.418 0.258
Sm 0.418 0.086 0.258
Ac 0.333 0.667 0.000
Ac 0.667 0.333 0.000
Pr 0.000 0.000 0.000
```

---

# 6
Here is a relaxed AcPr5Sm2Y crystal from Alexandria via LeMat-Bulk. Energies are from PBE. Values from VASP.

Properties
Density of states at the Fermi level ... 28.58 states/eV per cell
VASP energy ... -4.62 eV/atom
Formation enthalpy at 0 K ... 0.26 eV/atom

```
&SYSTEM
  ibrav = 0, nat = 18, ntyp = 4
/
ATOMIC_SPECIES
Pr 140.91 Pr.upf
Sm 150.36 Sm.upf
Y 88.91 Y.upf
Ac 227.00 Ac.upf
CELL_PARAMETERS angstrom
9.225 0.000 0.000
0.000 9.225 0.000
-4.612 -4.612 7.797
ATOMIC_POSITIONS crystal
Pr 0.165 0.073 0.738
Pr 0.335 0.835 0.262
Sm 0.387 0.887 0.000
Pr 0.073 0.573 0.738
Pr 0.835 0.927 0.262
Sm 0.613 0.113 0.000
Y 0.250 0.750 0.500
Pr 0.500 0.500 0.000
Ac 0.750 0.750 0.500
Sm 0.113 0.387 0.000
Sm 0.887 0.613 0.000
Pr 0.573 0.665 0.738
Pr 0.000 0.000 0.000
Ac 0.250 0.250 0.500
Pr 0.927 0.427 0.262
Pr 0.427 0.335 0.262
Pr 0.665 0.165 0.738
Y 0.750 0.250 0.500
```

---

Among the records above, which one has the lowest formation enthalpy at 0 K?
Ac2PrSm3Y6

---

Look up the VASP energy of the first one.
-4.39 eV/atom

---

Among the records above, which one has the highest VASP energy?
AcPrSm2Tm4

---

Which of these has the highest density of states at the Fermi level?
AcPrSm2Tm4